# 1
Er2Sc2Sb3: optimized geometry, PBE.

**Space-group type**: C2/m, No. 12

extended XYZ file:
```
7
Lattice="4.309 -0.004 0.001 -2.148 6.770 -0.118 -0.003 -1.143 6.967" Properties=species:S:1:pos:R:3 pbc="T T T"
Er 2.153 0.657 5.863
Er 0.005 4.966 0.986
Sc 2.158 4.404 4.222
Sc 0.000 1.219 2.627
Sb 0.000 0.000 0.000
Sb 2.157 2.941 1.725
Sb 0.001 2.681 5.124
```

***

# 2
Er3ScSb4: optimized geometry, PBE.

**Energy above the lowest structure with this stoichiometry**: 0 meV per atom
**Space-group type**: P2/c, No. 13

extended XYZ file:
```
16
Lattice="-5.800 4.472 -1.424 -1.413 -6.829 -2.649 -3.549 -2.196 7.556" Properties=species:S:1:pos:R:3 pbc="T T T"
Sc -7.458 1.431 5.549
Sc -1.891 0.845 0.583
Sb -8.357 1.390 2.685
Sb -6.365 -1.343 5.294
Sb -4.539 -0.278 1.443
Sb -0.771 -1.912 0.271
Sb -9.991 -2.640 3.213
Sb -6.223 -4.275 2.040
Sb -4.398 -3.210 -1.810
Sb -2.405 -5.943 0.799
Er -5.679 2.532 1.760
Er -3.671 -0.256 4.372
Er -7.278 -1.435 2.337
Er -5.498 -0.333 -1.452
Er -3.484 -3.118 1.147
Er -5.264 -4.219 4.936
```

***

# 3
Er2ScSb: optimized geometry, PBE.

**Energy above the lowest structure with this stoichiometry**: 0 meV per atom
**Space-group type**: P4/mmm, No. 123

extended XYZ file:
```
4
Lattice="-0.083 -3.895 1.063 2.135 0.860 3.318 -5.486 1.009 3.268" Properties=species:S:1:pos:R:3 pbc="T T T"
Sc -1.717 -1.013 3.825
Sb 1.026 -1.518 2.190
Er -4.150 0.763 2.473
Er -1.335 0.246 0.796
```

***

# 4
Er4ScSb5: optimized geometry, PBE.

**Space-group type**: I4/m, No. 87

extended XYZ file:
```
10
Lattice="5.509 0.000 2.657 2.755 6.826 1.329 -0.211 0.000 7.477" Properties=species:S:1:pos:R:3 pbc="T T T"
Er 3.153 2.715 7.556
Er 6.483 5.436 7.691
Er 1.580 1.390 3.777
Er 4.910 4.111 3.912
Sc 0.007 0.000 0.003
Sb 5.881 2.675 8.940
Sb 3.711 5.498 6.399
Sb 4.352 1.328 5.069
Sb 2.183 4.151 2.528
Sb 2.762 0.000 1.332
```

***

# 5
Er2ScSb: optimized geometry, PBE.

**Energy above the lowest structure with this stoichiometry**: 254 meV per atom
**Space-group type**: R-3m, No. 166

extended XYZ file:
```
4
Lattice="3.530 0.000 0.000 1.765 3.057 0.000 1.765 1.019 10.279" Properties=species:S:1:pos:R:3 pbc="T T T"
Sc 3.530 2.038 5.139
Sb 0.000 0.000 0.000
Er 1.765 1.019 2.477
Er 5.294 3.057 7.802
```

***

# 6
Er5Sc2Sb5: optimized geometry, PBE.

**Space-group type**: C2/m, No. 12

extended XYZ file:
```
12
Lattice="-2.668 1.952 2.734 -4.160 -3.196 -5.142 3.073 -7.987 8.699" Properties=species:S:1:pos:R:3 pbc="T T T"
Er 0.203 -3.017 5.717
Er -3.018 -0.003 0.423
Er -2.718 -2.754 2.679
Er -1.037 -6.477 3.612
Er -0.737 -9.228 5.868
Sc 1.851 -6.586 6.508
Sc -5.606 -2.644 -0.217
Sb 0.063 -3.867 2.822
Sb -1.014 -6.114 6.740
Sb -2.741 -3.117 -0.449
Sb -3.818 -5.364 3.469
Sb 0.000 0.000 0.000
```

***

# 7
Er3ScSb4: optimized geometry, PBE.

**Energy above the lowest structure with this stoichiometry**: 3 meV per atom
**Space-group type**: Pm-3m, No. 221

extended XYZ file:
```
8
Lattice="-5.084 2.975 -1.567 -2.647 -1.789 5.190 2.073 5.010 2.784" Properties=species:S:1:pos:R:3 pbc="T T T"
Er -0.287 1.610 3.987
Er -1.505 3.992 0.609
Er -3.865 0.593 1.812
Sc 0.000 0.000 0.000
Sb -2.542 1.487 -0.783
Sb -1.323 -0.895 2.595
Sb 1.037 2.505 1.392
Sb -2.829 3.097 3.204
```

***

# 8
Er3ScSb: optimized geometry, PBE.

**Space-group type**: C2/m, No. 12

extended XYZ file:
```
10
Lattice="5.533 0.000 0.000 -2.767 5.809 0.523 0.000 -0.098 9.009" Properties=species:S:1:pos:R:3 pbc="T T T"
Er 0.000 0.833 1.477
Er 2.767 4.878 8.055
Er 2.767 1.286 7.816
Er 0.000 4.425 1.717
Er 2.767 4.192 4.371
Er 0.000 1.519 5.162
Sc 0.000 4.782 6.120
Sc 2.767 0.929 3.413
Sb 0.000 2.651 8.035
Sb 2.767 3.060 1.498
```

***

# 9
ErSc2Sb: optimized geometry, PBE.

**Energy above the lowest structure with this stoichiometry**: 55 meV per atom
**Space-group type**: Cmcm, No. 63

extended XYZ file:
```
8
Lattice="-4.683 2.735 -2.914 1.484 -2.883 -2.344 -5.620 -5.806 3.582" Properties=species:S:1:pos:R:3 pbc="T T T"
Er -4.664 -6.005 -0.691
Er -4.155 0.050 -0.985
Sc -3.078 -3.057 0.103
Sc -5.741 -2.898 -1.779
Sc -0.793 -0.696 -1.353
Sc -8.025 -5.259 -0.323
Sb -0.381 -3.585 -0.955
Sb -8.438 -2.370 -0.721
```

***

# 10
Er2ScSb2: optimized geometry, PBE.

**Space-group type**: Ibam, No. 72

extended XYZ file:
```
10
Lattice="-4.121 3.349 -3.061 -5.578 -1.910 5.420 6.305 3.944 1.963" Properties=species:S:1:pos:R:3 pbc="T T T"
Er -2.994 4.270 2.565
Er -0.400 1.113 1.756
Er -0.787 3.360 -1.401
Er -2.607 2.023 5.721
Sc -5.880 1.557 0.414
Sc -3.819 -0.118 1.944
Sb -0.401 3.130 3.964
Sb -2.992 2.253 0.357
Sb -4.019 -0.478 4.887
Sb 0.625 5.861 -0.566
```

***

# 11
ErSc5Sb3: optimized geometry, PBE.

**Space-group type**: P6_3/mcm, No. 193

extended XYZ file:
```
18
Lattice="6.182 0.000 0.000 0.000 7.601 -4.388 0.000 0.001 8.777" Properties=species:S:1:pos:R:3 pbc="T T T"
Er 0.000 0.000 0.000
Er 3.091 0.000 0.000
Sc 0.000 5.067 0.000
Sc 3.091 2.534 4.389
Sc 0.000 2.534 4.389
Sc 3.091 5.067 0.000
Sc 4.636 5.046 2.914
Sc 4.636 7.600 -1.438
Sc 4.636 2.554 -1.475
Sc 1.545 2.555 1.475
Sc 1.545 0.001 5.827
Sc 1.545 5.046 -2.914
Sb 4.636 2.544 1.469
Sb 4.636 7.601 1.451
Sb 4.636 5.056 -2.919
Sb 1.545 5.057 2.920
Sb 1.545 0.000 2.938
Sb 1.545 2.545 -1.469
```

***

# 12
ErSc3Sb: optimized geometry, PBE.

**Space-group type**: Pnma, No. 62

extended XYZ file:
```
20
Lattice="3.797 0.000 0.000 0.000 9.940 0.000 0.000 0.000 13.594" Properties=species:S:1:pos:R:3 pbc="T T T"
Er 2.848 8.396 13.245
Er 0.949 6.514 6.448
Er 2.848 3.426 7.146
Er 0.949 1.544 0.349
Sc 0.949 5.844 1.061
Sc 2.848 4.096 12.533
Sc 0.949 0.874 5.736
Sc 2.848 9.066 7.858
Sc 0.949 3.827 10.013
Sc 2.848 1.143 3.216
Sc 0.949 8.797 10.378
Sc 2.848 6.282 9.339
Sc 0.949 3.658 4.255
Sc 2.848 1.312 11.052
Sc 2.848 6.113 3.581
Sc 0.949 8.628 2.542
Sb 0.949 1.269 8.651
Sb 0.949 6.239 11.740
Sb 2.848 3.701 1.854
Sb 2.848 8.671 4.943
```

***

The calculation returns the following DFT total energy values, one per record and in order: -39.26 -89.78 -21.56 -55.74 -20.55 -65.73 -44.87 -50.84 -47.14 -55.04 -108.71 -118.62 eV/cell.
The calculation returns the following formation energy from raw total energies values, one per record and in order: -728.8 -1047.3 -496.2 -1054.6 -242.5 -803.5 -1044.6 -255.1 -555.2 -763.3 -640.9 -395.0 meV per atom.